Record 1
Below is a relaxed Pm2DyAg crystal, with properties calculated at the PBE level.

The structure belongs to space group Fm-3m (No. 225); the cell edges are 7.7305, 7.7305 and 7.7305 Å and the angles 90.00°, 90.00° and 90.00°. Symmetry generates all atoms from Pm at (0.2500, 0.2500, 0.2500), Dy at (0.0000, 0.0000, 0.0000) and Ag at (0.0000, 0.0000, 0.5000).

The value obtained for the distance to the lowest polymorph of the same formula is 185 meV/atom. The value obtained for the formation energy from the elements is 0.06 eV/atom. As for the density of states at the Fermi level: 17.2 states/eV/cell.

---

Record 2
Below is a relaxed SiAu8 crystal, with properties calculated at the PBE level.

The structure belongs to space group I4/mmm (No. 139); the cell edges are 8.7762, 8.7762 and 4.1580 Å and the angles 90.00°, 90.00° and 90.00°. Symmetry generates all atoms from Si at (0.0000, 0.0000, 0.0000), Au at (0.0000, 0.3297, 0.0000) and Au at (0.1636, 0.1636, 0.5000).

The formation energy (no corrections) comes out at 83 meV per atom. As for the density of states at the Fermi level: 5.3 states/eV/cell.

---

Record 3
Below is a relaxed Sm3Ga9Ag2 crystal, with properties calculated at the PBE level.

The structure belongs to space group Immm (No. 71); the cell edges are 4.3057, 10.1240 and 12.7832 Å and the angles 90.00°, 90.00° and 90.00°. Symmetry generates all atoms from Sm at (0.0000, 0.0000, 0.0000), Sm at (0.0000, 0.0000, 0.3174), Ga at (0.0000, 0.2725, 0.1399), Ga at (0.0000, 0.3743, 0.3336), Ga at (0.0000, 0.5000, 0.0000) and Ag at (0.0000, 0.2204, 0.5000).

The value obtained for the formation energy from the elements is -0.48 eV/atom. As for the density of states at the Fermi level: 13.4 states/eV/cell.

---

Record 4
Below is a relaxed InSn4Te5 crystal, with properties calculated at the PBE level.

The structure belongs to space group R-3m (No. 166, hexagonal axes); the cell edges are 4.4927, 4.4927 and 55.5435 Å and the angles 90.00°, 90.00° and 120.00°. Symmetry generates all atoms from In at (0.0000, 0.0000, 0.0000), Sn at (0.0000, 0.0000, 0.2003), Sn at (0.0000, 0.0000, 0.3992), Te at (0.0000, 0.0000, 0.1002), Te at (0.0000, 0.0000, 0.2996) and Te at (0.0000, 0.0000, 0.5000).

The formation energy (no corrections) comes out at -283 meV per atom. As for the density of states at the Fermi level: 10.5 states/eV/cell.

---

Record 5
Below is a relaxed Na4PmDy3Te8 crystal, with properties calculated at the PBE level.

The structure belongs to space group R-3m (No. 166, hexagonal axes); the cell edges are 8.9028, 8.9028 and 22.7020 Å and the angles 90.00°, 90.00° and 120.00°. Symmetry generates all atoms from Na at (0.0000, 0.0000, 0.0000), Na at (0.0000, 0.5000, 0.0000), Pm at (0.0000, 0.0000, 0.5000), Dy at (0.0000, 0.5000, 0.5000), Te at (0.0000, 0.0000, 0.2437) and Te at (0.0051, 0.5026, 0.7553).

The formation energy (no corrections) comes out at -1319 meV per atom.

---

Record 6
Below is a relaxed Ca2NiB2Rh5 crystal, with properties calculated at the PBE level.

The structure belongs to space group P4/mbm (No. 127); the cell edges are 9.7156, 9.7156 and 2.9695 Å and the angles 90.00°, 90.00° and 90.00°. Symmetry generates all atoms from Ca at (0.1773, 0.3227, 0.0000), Ni at (0.0000, 0.0000, 0.0000), B at (0.1245, 0.6245, 0.0000), Rh at (0.0000, 0.5000, 0.5000) and Rh at (0.0686, 0.7797, 0.5000).

The value obtained for the formation energy from the elements is -0.41 eV/atom. As for the density of states at the Fermi level: 15.0 states/eV/cell.

---

Record 7
Below is a relaxed CoIr2Au crystal, with properties calculated at the PBE level.

The structure belongs to space group Pmm2 (No. 25); the cell edges are 2.7564, 3.7988 and 5.6017 Å and the angles 90.00°, 90.00° and 90.00°. Symmetry generates all atoms from Co at (0.0000, 0.0000, 0.0000), Ir at (0.0000, 0.0000, 0.4554), Ir at (0.5000, 0.5000, 0.2315) and Au at (0.5000, 0.5000, 0.7443).

The value obtained for the distance to the lowest polymorph of the same formula is 63 meV/atom. The value obtained for the formation energy from the elements is 0.24 eV/atom. As for the density of states at the Fermi level: 5.6 states/eV/cell.

---

Record 8
Below is a relaxed FeNiCl crystal, with properties calculated at the PBE level.

The structure belongs to space group F-43m (No. 216); the cell edges are 5.6788, 5.6788 and 5.6788 Å and the angles 90.00°, 90.00° and 90.00°. Symmetry generates all atoms from Fe at (0.0000, 0.0000, 0.0000), Ni at (0.2500, 0.2500, 0.2500) and Cl at (0.2500, 0.2500, 0.7500).

The formation energy (no corrections) comes out at 576 meV per atom. The value obtained for the distance to the lowest polymorph of the same formula is 395 meV/atom. As for the density of states at the Fermi level: 9.5 states/eV/cell.

---

Q: Number 8 is which compound?
A: FeNiCl